one) Density functional theory data (PBE) for Ac2AlCu3 after structural relaxation.

Geometry as extended XYZ:
```
12
Lattice="-1.544 -0.278 5.941 -4.587 -3.735 -1.663 7.670 -4.054 -1.226" Properties=species:S:1:pos:R:3 pbc="T T T"
Ac 0.009 -4.898 -0.375
Ac -4.690 -3.070 3.272
Ac 1.530 -3.170 3.427
Ac -1.441 -0.943 1.006
Al -1.557 -3.993 2.438
Al 3.095 -4.075 0.614
Cu -3.050 -3.869 0.414
Cu 3.086 -5.905 -1.116
Cu 4.588 -4.198 2.637
Cu -1.548 -2.163 4.168
Cu 1.553 -2.044 0.308
Cu -0.014 -6.024 2.744
```

Calculated values
symmetry: Fmmm
calculated volume: 144.6 Å³/f.u.
total moment: 0.00 μB per formula unit
DOS at the Fermi energy: 9.8 states/eV/cell



two) Density functional theory data (PBE) for Ac2AlCu3 after structural relaxation.

Geometry as extended XYZ:
```
6
Lattice="-4.300 0.514 0.379 -0.225 -3.596 2.327 3.326 5.660 5.117" Properties=species:S:1:pos:R:3 pbc="T T T"
Ac 0.276 1.069 1.679
Ac -1.368 3.288 4.950
Al 0.868 2.000 7.129
Cu -1.823 0.160 4.025
Cu -2.174 -1.200 1.889
Cu 0.512 0.619 4.960
```

Calculated values
symmetry: Imm2
calculated volume: 144.4 Å³/f.u.
total moment: 0.00 μB per formula unit
DOS at the Fermi energy: 4.4 states/eV/cell



What are the relative energies? In meV/atom: one) 11; two) 0.



one) Density functional theory data (PBE) for AcAl3Cu2 after structural relaxation.

Geometry as extended XYZ:
```
12
Lattice="5.184 0.000 0.000 0.000 6.732 0.245 0.000 -1.991 6.436" Properties=species:S:1:pos:R:3 pbc="T T T"
Ac 1.296 1.595 2.247
Ac 3.888 3.147 4.433
Al 3.888 3.015 0.634
Al 3.888 -0.397 3.055
Al 1.296 1.726 6.047
Al 3.888 0.332 0.468
Al 1.296 4.409 6.213
Al 1.296 5.138 3.625
Cu 2.592 4.977 1.491
Cu 0.000 4.977 1.491
Cu 0.000 -0.235 5.190
Cu 2.592 -0.235 5.190
```

Calculated values
symmetry: Cmcm
calculated volume: 113.6 Å³/f.u.
total moment: 0.00 μB per formula unit
DOS at the Fermi energy: 3.4 states/eV/cell



two) Density functional theory data (PBE) for AcAl3Cu2 after structural relaxation.

Geometry as extended XYZ:
```
6
Lattice="-1.354 4.698 -2.718 0.516 -4.808 -2.812 -4.032 -0.799 0.627" Properties=species:S:1:pos:R:3 pbc="T T T"
Ac 0.000 0.000 0.000
Al -1.758 -2.804 -1.093
Al -2.435 -0.455 -2.452
Al -2.693 1.949 -1.046
Cu -0.107 -1.639 -2.781
Cu -0.731 1.529 -2.749
```

Calculated values
symmetry: P6/mmm
calculated volume: 112.7 Å³/f.u.
total moment: 0.00 μB per formula unit
DOS at the Fermi energy: 3.2 states/eV/cell



What are the relative energies? In meV/atom: one) 36; two) 0.